1.
VASP calculation (PBE) on a relaxed SiSeIN2 crystal.

Cell: 3.929 3.929 7.230 Å, 90.00 90.00 90.00°
Sites, in units of the cell vectors:
Se  0.000  0.000  0.500
N  0.500  0.000  0.000
N  0.000  0.500  0.000
I  0.000  0.000  0.000
Si  0.500  0.500  0.500

Calculated values
* raw formation energy: 9.31 eV/f.u.
* calculated volume: 111.6 Å³/cell
* space-group type: No. 123
* distance to the lowest polymorph of the same formula: 87.6 kJ per mole of atoms
* electronic total energy: -17.795 eV per cell



2.
VASP calculation (PBE) on a relaxed TaPNO2 crystal.

Cell: 3.726 3.726 3.727 Å, 90.00 90.00 90.00°
Sites, in units of the cell vectors:
P  0.000  0.000  0.500
O  0.500  0.000  0.000
O  0.000  0.500  0.000
Ta  0.500  0.500  0.500
N  0.000  0.000  0.000

Calculated values
* raw formation energy: 2.78 eV/f.u.
* calculated volume: 51.7 Å³/cell
* space-group type: No. 123
* electronic total energy: -32.724 eV per cell



3.
VASP calculation (PBE) on a relaxed NdGaIr crystal.

Cell: 4.101 4.101 8.388 Å, 104.15 104.15 90.00°
Sites, in units of the cell vectors:
Ir  0.090  0.590  0.181
Ir  0.840  0.840  0.681
Nd  0.410  0.410  0.819
Nd  0.660  0.160  0.319
Ga  0.250  0.750  0.500
Ga  0.000  0.000  0.000

Calculated values
* calculated formation energy: -0.70 eV/atom
* calculated volume: 132.4 Å³/cell
* space-group type: No. 109
* electronic total energy: -37.512 eV per cell



4.
VASP calculation (PBE) on a relaxed ZrTcW crystal.

Cell: 7.186 6.980 2.860 Å, 82.43 74.34 23.23°
Sites, in units of the cell vectors:
Tc  0.006  0.006  0.994
Zr  0.337  0.337  0.663
W  0.657  0.657  0.343

Calculated values
* calculated formation energy: 0.04 eV/atom
* calculated volume: 51.9 Å³/cell
* space-group type: No. 42
* distance to the lowest polymorph of the same formula: 26.8 kJ per mole of atoms
* electronic total energy: -31.744 eV per cell



5.
VASP calculation (PBE) on a relaxed ScFePb crystal.

Cell: 4.618 4.618 3.215 Å, 90.00 90.00 120.00°
Sites, in units of the cell vectors:
Sc  0.333  0.667  0.667
Pb  0.667  0.333  0.167
Fe  0.000  0.000  0.165

Calculated values
* calculated formation energy: 0.08 eV/atom
* calculated volume: 59.4 Å³/cell
* space-group type: No. 156
* electronic total energy: -18.274 eV per cell